VASP calculation (PBE) on a geometry-optimized PmGdCo4 structure.

Lattice parameters (Å, degrees): 5.1266 5.1266 5.1266 60.00 60.00 60.00
Last column: nearest neighbours and their distance in Å.
Sites, in units of the cell vectors:
Gd 0.0000 0.0000 0.0000  12 Co 3.01, 4 Pm 3.14
Co 0.1241 0.6253 0.6253  6 Co 2.56-2.57
Co 0.6253 0.6253 0.1241  6 Co 2.56-2.57
Co 0.6253 0.6253 0.6253  6 Co 2.56-2.57
Co 0.6253 0.1241 0.6253  6 Co 2.56-2.57
Pm 0.2500 0.2500 0.2500  12 Co 3.01, 4 Gd 3.14

Properties
M_tot ... 3.22 μB/cell
Energy of formation ... -0.73 eV per formula unit



VASP calculation (PBE) on a geometry-optimized PmGdCo2 structure.

Lattice parameters (Å, degrees): 3.4103 4.8052 4.8052 90.00 90.00 90.00
Last column: nearest neighbours and their distance in Å.
Sites, in units of the cell vectors:
Pm 0.5000 0.5000 0.5000  8 Co 2.95
Co 0.0000 0.5000 0.0000  4 Gd 2.95, 4 Pm 2.95
Co 0.0000 0.0000 0.5000  4 Gd 2.95, 4 Pm 2.95
Gd 0.5000 0.0000 0.0000  8 Co 2.95

Properties
M_tot ... 7.82 μB/cell
Energy of formation ... -0.10 eV per formula unit



VASP calculation (PBE) on a geometry-optimized PmGdCo structure.

Lattice parameters (Å, degrees): 3.4232 3.4232 6.9259 104.31 104.31 90.00
Last column: nearest neighbours and their distance in Å.
Sites, in units of the cell vectors:
Co 0.6640 0.6640 0.3280  4 Gd 2.90, 4 Pm 2.95
Pm 0.2945 0.2945 0.5890  4 Co 2.95, 1 Gd 3.28
Gd 0.0415 0.0415 0.0830  4 Co 2.90

Properties
M_tot ... 6.50 μB/cell
Energy of formation ... -0.12 eV per formula unit



VASP calculation (PBE) on a geometry-optimized PmGdCoPt structure.

Lattice parameters (Å, degrees): 4.9405 4.9405 4.9405 60.00 60.00 60.00
Last column: nearest neighbours and their distance in Å.
Sites, in units of the cell vectors:
Gd 0.5000 0.5000 0.5000  4 Pt 3.03, 4 Co 3.03
Pm 0.0000 0.0000 0.0000  4 Co 3.03, 4 Pt 3.03
Pt 0.7500 0.7500 0.7500  4 Pm 3.03, 4 Gd 3.03
Co 0.2500 0.2500 0.2500  4 Gd 3.03, 4 Pm 3.03

Properties
M_tot ... 6.69 μB/cell
Energy of formation ... -2.24 eV per formula unit



VASP calculation (PBE) on a geometry-optimized PmGdCoRh structure.

Lattice parameters (Å, degrees): 4.8872 4.8872 4.8872 60.00 60.00 60.00
Last column: nearest neighbours and their distance in Å.
Sites, in units of the cell vectors:
Gd 0.2500 0.2500 0.2500  4 Co 2.99, 4 Rh 2.99
Rh 0.0000 0.0000 0.0000  4 Gd 2.99, 4 Pm 2.99
Co 0.5000 0.5000 0.5000  4 Pm 2.99, 4 Gd 2.99
Pm 0.7500 0.7500 0.7500  4 Co 2.99, 4 Rh 2.99

Properties
M_tot ... 6.37 μB/cell
Energy of formation ... -1.53 eV per formula unit



VASP calculation (PBE) on a geometry-optimized PmGdCoRu structure.

Lattice parameters (Å, degrees): 4.8594 4.8594 4.8594 60.00 60.00 60.00
Last column: nearest neighbours and their distance in Å.
Sites, in units of the cell vectors:
Pm 0.5000 0.5000 0.5000  4 Ru 2.98, 4 Co 2.98
Co 0.2500 0.2500 0.2500  4 Pm 2.98, 4 Gd 2.98
Ru 0.7500 0.7500 0.7500  4 Pm 2.98, 4 Gd 2.98
Gd 0.0000 0.0000 0.0000  4 Co 2.98, 4 Ru 2.98

Properties
M_tot ... 6.83 μB/cell
Energy of formation ... -0.43 eV per formula unit